# 1
ScPbAu2: relaxed, PBE.

abc: 4.617 4.617 7.845
angles: 90.00 90.00 90.00
Space group I-4m2 (No. 119)
One atom of each set of equivalent atoms:
Sc (0.000, 0.000, 0.000)
Pb (0.000, 0.500, 0.250)
Au (0.000, 0.000, 0.500)
Au (0.000, 0.500, 0.750)

Calculated formation energy ... -0.330 eV per atom

***

# 2
ScPbAu: relaxed, PBE.

abc: 4.527 4.527 7.083
angles: 90.00 90.00 90.00
Space group P4/nmm (No. 129, origin choice 2)
One atom of each set of equivalent atoms:
Sc (0.250, 0.750, 0.000)
Pb (0.250, 0.250, 0.356)
Au (0.250, 0.250, 0.768)

Calculated formation energy ... -0.423 eV per atom

***

# 3
ScPbAu2: relaxed, PBE.

abc: 3.7484 3.7484 23.5759
angles: 90.00 90.00 120.00
Space group R3m (No. 160, hexagonal axes)
One atom of each set of equivalent atoms:
Sc (0.0000, 0.0000, 0.0000)
Pb (0.0000, 0.0000, 0.2294)
Au (0.0000, 0.0000, 0.4797)
Au (0.0000, 0.0000, 0.7356)

Calculated formation energy ... -0.190 eV per atom

***

# 4
ScPbAu2: relaxed, PBE.

abc: 3.749 4.898 9.351
angles: 90.00 90.00 90.00
Space group Imm2 (No. 44)
One atom of each set of equivalent atoms:
Sc (0.000, 0.000, 0.000)
Pb (0.000, 0.500, 0.231)
Au (0.000, 0.000, 0.485)
Au (0.000, 0.500, 0.742)

Calculated formation energy ... -0.323 eV per atom

***

# 5
Sc2Pb2Au: relaxed, PBE.

abc: 4.162 4.162 15.375
angles: 90.00 90.00 90.00
Space group I4/mmm (No. 139)
One atom of each set of equivalent atoms:
Sc (0.000, 0.000, 0.095)
Pb (0.000, 0.500, 0.250)
Au (0.000, 0.000, 0.500)

Calculated formation energy ... 0.053 eV per atom
Polymorph energy (0 for the lowest one) ... 0.368 eV per atom

***

# 6
ScPb2Au: relaxed, PBE.

abc: 7.318 7.318 7.318
angles: 90.00 90.00 90.00
Space group Fm-3m (No. 225)
One atom of each set of equivalent atoms:
Sc (0.000, 0.000, 0.000)
Pb (0.250, 0.250, 0.250)
Au (0.000, 0.000, 0.500)

Calculated formation energy ... -0.059 eV per atom
Polymorph energy (0 for the lowest one) ... 0.274 eV per atom

***

The highest calculated formation energy belongs to which entry? Sc2Pb2Au